# K3MgTl4

A relaxed K3MgTl4 crystal (PBE, the Alexandria database).

Uncorrected energy in eV for the cell shown: -29.65
Magnetization in μB/f.u.: 0.00
Formation energy from the elements in eV per formula unit: -0.47
Crystal system: monoclinic
SG: C2, No. 5

Unit cell a=12.067 b=5.433 c=10.461 alpha=90.00 beta=120.55 gamma=90.00
Sites, in units of the cell vectors:
1 K 0.000 0.000 0.000
2 K 0.078 0.500 0.776
3 K 0.422 0.000 0.224
4 K 0.500 0.500 0.000
5 K 0.578 0.000 0.776
6 K 0.922 0.500 0.224
7 Mg 0.000 0.999 0.500
8 Mg 0.500 0.499 0.500
9 Tl 0.195 0.000 0.394
10 Tl 0.229 0.500 0.234
11 Tl 0.271 0.000 0.766
12 Tl 0.305 0.500 0.606
13 Tl 0.695 0.500 0.394
14 Tl 0.729 0.000 0.234
15 Tl 0.771 0.500 0.766
16 Tl 0.805 0.000 0.606

# KMgTl5

A relaxed KMgTl5 crystal (PBE, the Alexandria database).

Excess energy over the best structure of this formula in the dataset in meV/atom: 40
Uncorrected energy in eV for the cell shown: -14.50
Magnetization in μB/f.u.: 0.00
Formation energy from the elements in eV per formula unit: 0.02
Crystal system: tetragonal
SG: P4/mmm, No. 123

Unit cell a=5.187 b=5.187 c=8.262 alpha=90.00 beta=90.00 gamma=90.00
Sites, in units of the cell vectors:
1 K 0.000 0.000 0.000
2 Mg 0.000 0.000 0.500
3 Tl 0.000 0.500 0.297
4 Tl 0.000 0.500 0.703
5 Tl 0.500 0.000 0.297
6 Tl 0.500 0.000 0.703
7 Tl 0.500 0.500 0.000